(1)
# La2SbAu

Crystalline La2SbAu at its relaxed geometry (PBE, Alexandria via LeMat-Bulk).

Structure (CIF):
```
data_La2SbAu
_space_group_name_H-M_alt 'C m c m'
_space_group_IT_number 63
_space_group_name_Hall '-C 2c 2'
_cell_length_a 4.308
_cell_length_b 24.788
_cell_length_c 4.752
_cell_angle_alpha 90.00
_cell_angle_beta 90.00
_cell_angle_gamma 90.00
loop_
_atom_site_label
_atom_site_type_symbol
_atom_site_fract_x
_atom_site_fract_y
_atom_site_fract_z
_atom_site_occupancy
La1 La 0.000 0.060 0.250 1
La2 La 0.000 0.318 0.250 1
Sb1 Sb 0.000 0.188 0.250 1
Au1 Au 0.000 0.459 0.250 1
```

Computed properties:
Fermi-level density of states, states/eV per atom: 0.878
ΔE_f (raw), kJ/mol of formula units: -375
Magnetic moment, μB/f.u.: 0.000
Mass density, g cm⁻³: 7.807

***

(2)
# La2SbAu2

Crystalline La2SbAu2 at its relaxed geometry (PBE, Alexandria via LeMat-Bulk).

Structure (CIF):
```
data_La2SbAu2
_space_group_name_H-M_alt 'P 4/m b m'
_space_group_IT_number 127
_space_group_name_Hall '-P 4 2ab'
_cell_length_a 8.014
_cell_length_b 8.014
_cell_length_c 4.224
_cell_angle_alpha 90.00
_cell_angle_beta 90.00
_cell_angle_gamma 90.00
loop_
_atom_site_label
_atom_site_type_symbol
_atom_site_fract_x
_atom_site_fract_y
_atom_site_fract_z
_atom_site_occupancy
La1 La 0.176 0.324 0.000 1
Sb1 Sb 0.000 0.000 0.500 1
Au1 Au 0.125 0.625 0.500 1
```

Computed properties:
Fermi-level density of states, states/eV per atom: 0.533
Distance to the lowest polymorph of the same formula, eV per formula unit: 0.00
ΔE_f (raw), kJ/mol of formula units: -438
Magnetic moment, μB/f.u.: 0.000
Mass density, g cm⁻³: 9.713

***

(3)
# LaSbAu

Crystalline LaSbAu at its relaxed geometry (PBE, Alexandria via LeMat-Bulk).

Structure (CIF):
```
data_LaSbAu
_space_group_name_H-M_alt 'P -1'
_space_group_IT_number 2
_space_group_name_Hall '-P 1'
_cell_length_a 4.673
_cell_length_b 6.091
_cell_length_c 6.755
_cell_angle_alpha 96.73
_cell_angle_beta 90.06
_cell_angle_gamma 112.46
loop_
_atom_site_label
_atom_site_type_symbol
_atom_site_fract_x
_atom_site_fract_y
_atom_site_fract_z
_atom_site_occupancy
La1 La 0.121 0.239 0.231 1
Sb1 Sb 0.172 0.345 0.719 1
Au1 Au 0.406 0.813 0.113 1
```

Computed properties:
Fermi-level density of states, states/eV per atom: 0.103
ΔE_f (raw), kJ/mol of formula units: -265
Magnetic moment, μB/f.u.: 0.000
Mass density, g cm⁻³: 8.624

***

(4)
# LaSbAu4

Crystalline LaSbAu4 at its relaxed geometry (PBE, Alexandria via LeMat-Bulk).

Structure (CIF):
```
data_LaSbAu4
_space_group_name_H-M_alt 'F -4 3 m'
_space_group_IT_number 216
_space_group_name_Hall 'F -4 2 3'
_cell_length_a 8.107
_cell_length_b 8.107
_cell_length_c 8.107
_cell_angle_alpha 90.00
_cell_angle_beta 90.00
_cell_angle_gamma 90.00
loop_
_atom_site_label
_atom_site_type_symbol
_atom_site_fract_x
_atom_site_fract_y
_atom_site_fract_z
_atom_site_occupancy
La1 La 0.000 0.000 0.000 1
Sb1 Sb 0.250 0.250 0.750 1
Au1 Au 0.125 0.125 0.375 1
```

Computed properties:
Fermi-level density of states, states/eV per atom: 0.220
ΔE_f (raw), kJ/mol of formula units: -272
Magnetic moment, μB/f.u.: 0.000
Mass density, g cm⁻³: 13.071

***

(5)
# LaSbAu

Crystalline LaSbAu at its relaxed geometry (PBE, Alexandria via LeMat-Bulk).

Structure (CIF):
```
data_LaSbAu
_space_group_name_H-M_alt 'I m m 2'
_space_group_IT_number 44
_space_group_name_Hall 'I 2 -2'
_cell_length_a 3.802
_cell_length_b 3.827
_cell_length_c 11.103
_cell_angle_alpha 90.00
_cell_angle_beta 90.00
_cell_angle_gamma 90.00
loop_
_atom_site_label
_atom_site_type_symbol
_atom_site_fract_x
_atom_site_fract_y
_atom_site_fract_z
_atom_site_occupancy
La1 La 0.000 0.000 0.000 1
Sb1 Sb 0.000 0.000 0.300 1
Au1 Au 0.000 0.000 0.651 1
```

Computed properties:
Fermi-level density of states, states/eV per atom: 0.482
ΔE_f (raw), kJ/mol of formula units: -195
Magnetic moment, μB/f.u.: 0.000
Mass density, g cm⁻³: 9.407

***

(6)
# LaSb3Au3

Crystalline LaSb3Au3 at its relaxed geometry (PBE, Alexandria via LeMat-Bulk).

Structure (CIF):
```
data_LaSb3Au3
_space_group_name_H-M_alt 'P m -3 n'
_space_group_IT_number 223
_space_group_name_Hall '-P 4n 2 3'
_cell_length_a 7.531
_cell_length_b 7.531
_cell_length_c 7.531
_cell_angle_alpha 90.00
_cell_angle_beta 90.00
_cell_angle_gamma 90.00
loop_
_atom_site_label
_atom_site_type_symbol
_atom_site_fract_x
_atom_site_fract_y
_atom_site_fract_z
_atom_site_occupancy
La1 La 0.000 0.000 0.000 1
Sb1 Sb 0.000 0.250 0.500 1
Au1 Au 0.000 0.500 0.250 1
```

Computed properties:
Fermi-level density of states, states/eV per atom: 0.652
ΔE_f (raw), kJ/mol of formula units: -73
Magnetic moment, μB/f.u.: 0.198
Mass density, g cm⁻³: 8.516

***

(7)
# La2SbAu

Crystalline La2SbAu at its relaxed geometry (PBE, Alexandria via LeMat-Bulk).

Structure (CIF):
```
data_La2SbAu
_space_group_name_H-M_alt 'I -4 2 d'
_space_group_IT_number 122
_space_group_name_Hall 'I -4 2bw'
_cell_length_a 8.238
_cell_length_b 8.238
_cell_length_c 7.854
_cell_angle_alpha 90.00
_cell_angle_beta 90.00
_cell_angle_gamma 90.00
loop_
_atom_site_label
_atom_site_type_symbol
_atom_site_fract_x
_atom_site_fract_y
_atom_site_fract_z
_atom_site_occupancy
La1 La 0.231 0.250 0.125 1
Sb1 Sb 0.000 0.000 0.500 1
Au1 Au 0.000 0.000 0.000 1
```

Computed properties:
Fermi-level density of states, states/eV per atom: 1.267
ΔE_f (raw), kJ/mol of formula units: -281
Magnetic moment, μB/f.u.: 0.000
Mass density, g cm⁻³: 7.434

***

(8)
# La2SbAu3

Crystalline La2SbAu3 at its relaxed geometry (PBE, Alexandria via LeMat-Bulk).

Structure (CIF):
```
data_La2SbAu3
_space_group_name_H-M_alt 'P m m 2'
_space_group_IT_number 25
_space_group_name_Hall 'P 2 -2'
_cell_length_a 3.838
_cell_length_b 4.729
_cell_length_c 8.485
_cell_angle_alpha 90.00
_cell_angle_beta 90.00
_cell_angle_gamma 90.00
loop_
_atom_site_label
_atom_site_type_symbol
_atom_site_fract_x
_atom_site_fract_y
_atom_site_fract_z
_atom_site_occupancy
La1 La 0.000 0.000 0.000 1
La2 La 0.000 0.500 0.470 1
Sb1 Sb 0.500 0.500 0.817 1
Au1 Au 0.500 0.000 0.319 1
Au2 Au 0.500 0.000 0.644 1
Au3 Au 0.500 0.500 0.150 1
```

Computed properties:
Fermi-level density of states, states/eV per atom: 0.548
Distance to the lowest polymorph of the same formula, eV per formula unit: 0.19
ΔE_f (raw), kJ/mol of formula units: -498
Magnetic moment, μB/f.u.: 0.000
Mass density, g cm⁻³: 10.681